No. 1
Below is a relaxed Li2H6OsAu crystal, with properties calculated at the PBE level.

```
data_Li2H6OsAu
_cell_length_a 4.973
_cell_length_b 4.973
_cell_length_c 4.973
_cell_angle_alpha 60.00
_cell_angle_beta 60.00
_cell_angle_gamma 60.00
_symmetry_space_group_name_H-M 'P 1'
_symmetry_Int_Tables_number 1
_symmetry_space_group_name_Hall 'P 1'
loop_
_atom_site_label
_atom_site_type_symbol
_atom_site_fract_x
_atom_site_fract_y
_atom_site_fract_z
_atom_site_occupancy
Li1 Li 0.250 0.250 0.250 1
Li2 Li 0.750 0.750 0.750 1
H1 H 0.243 0.243 0.757 1
H2 H 0.243 0.757 0.243 1
H3 H 0.243 0.757 0.757 1
H4 H 0.757 0.243 0.243 1
H5 H 0.757 0.243 0.757 1
H6 H 0.757 0.757 0.243 1
Os1 Os 0.000 0.000 0.000 1
Au1 Au 0.500 0.500 0.500 1
```

=====

No. 2
# PmPrAsO | OQMD via LeMat-Bulk | PBE | optimized geometry
data_PmPrAsO
_cell_length_a 4.346
_cell_length_b 7.891
_cell_length_c 6.156
_cell_angle_alpha 90.00
_cell_angle_beta 90.00
_cell_angle_gamma 90.00
_symmetry_space_group_name_H-M 'P 1'
_symmetry_Int_Tables_number 1
_symmetry_space_group_name_Hall 'P 1'
loop_
_atom_site_label
_atom_site_type_symbol
_atom_site_fract_x
_atom_site_fract_y
_atom_site_fract_z
_atom_site_occupancy
Pm1 Pm 0.000 0.110 0.000 1
Pm2 Pm 0.000 0.890 0.500 1
Pr1 Pr 0.500 0.299 0.427 1
Pr2 Pr 0.500 0.701 0.927 1
As1 As 0.500 0.332 0.921 1
As2 As 0.500 0.668 0.421 1
O1 O 0.000 0.170 0.366 1
O2 O 0.000 0.830 0.866 1
# ΔE to the lowest computed polymorph, meV/atom: 0

=====

No. 3
Below is a relaxed TbHoB4 crystal, with properties calculated at the PBE level.

```
data_TbHoB4
_cell_length_a 3.294
_cell_length_b 3.294
_cell_length_c 7.720
_cell_angle_alpha 90.00
_cell_angle_beta 90.00
_cell_angle_gamma 120.00
_symmetry_space_group_name_H-M 'P 1'
_symmetry_Int_Tables_number 1
_symmetry_space_group_name_Hall 'P 1'
loop_
_atom_site_label
_atom_site_type_symbol
_atom_site_fract_x
_atom_site_fract_y
_atom_site_fract_z
_atom_site_occupancy
Tb1 Tb 0.000 0.000 0.000 1
Ho1 Ho 0.000 0.000 0.500 1
B1 B 0.333 0.667 0.253 1
B2 B 0.333 0.667 0.747 1
B3 B 0.667 0.333 0.253 1
B4 B 0.667 0.333 0.747 1
```

=====

No. 4
# NaScU | OQMD via LeMat-Bulk | PBE | optimized geometry
data_NaScU
_cell_length_a 5.211
_cell_length_b 5.211
_cell_length_c 5.211
_cell_angle_alpha 60.00
_cell_angle_beta 60.00
_cell_angle_gamma 60.00
_symmetry_space_group_name_H-M 'P 1'
_symmetry_Int_Tables_number 1
_symmetry_space_group_name_Hall 'P 1'
loop_
_atom_site_label
_atom_site_type_symbol
_atom_site_fract_x
_atom_site_fract_y
_atom_site_fract_z
_atom_site_occupancy
Na1 Na 0.000 0.000 0.000 1
Sc1 Sc 0.500 0.500 0.500 1
U1 U 0.250 0.250 0.250 1
# ΔE to the lowest computed polymorph, meV/atom: 163

=====

No. 5
# CuAg4 | OQMD via LeMat-Bulk | PBE | optimized geometry
data_CuAg4
_cell_length_a 10.111
_cell_length_b 10.111
_cell_length_c 5.839
_cell_angle_alpha 98.39
_cell_angle_beta 98.39
_cell_angle_gamma 16.63
_symmetry_space_group_name_H-M 'P 1'
_symmetry_Int_Tables_number 1
_symmetry_space_group_name_Hall 'P 1'
loop_
_atom_site_label
_atom_site_type_symbol
_atom_site_fract_x
_atom_site_fract_y
_atom_site_fract_z
_atom_site_occupancy
Cu1 Cu 0.098 0.098 0.299 1
Cu2 Cu 0.902 0.902 0.701 1
Ag1 Ag 0.099 0.099 0.801 1
Ag2 Ag 0.302 0.302 0.894 1
Ag3 Ag 0.304 0.304 0.410 1
Ag4 Ag 0.500 0.500 0.000 1
Ag5 Ag 0.500 0.500 0.500 1
Ag6 Ag 0.696 0.696 0.590 1
Ag7 Ag 0.698 0.698 0.106 1
Ag8 Ag 0.901 0.901 0.199 1
# Formation energy, eV/atom: 0.060
# ΔE to the lowest computed polymorph, meV/atom: 36

=====

No. 6
# Ge3Os2 | OQMD via LeMat-Bulk | PBE | optimized geometry
data_Ge3Os2
_cell_length_a 11.587
_cell_length_b 9.337
_cell_length_c 5.803
_cell_angle_alpha 90.00
_cell_angle_beta 90.00
_cell_angle_gamma 90.00
_symmetry_space_group_name_H-M 'P 1'
_symmetry_Int_Tables_number 1
_symmetry_space_group_name_Hall 'P 1'
loop_
_atom_site_label
_atom_site_type_symbol
_atom_site_fract_x
_atom_site_fract_y
_atom_site_fract_z
_atom_site_occupancy
Ge1 Ge 0.073 0.214 0.042 1
Ge2 Ge 0.073 0.786 0.542 1
Ge3 Ge 0.132 0.395 0.601 1
Ge4 Ge 0.132 0.605 0.101 1
Ge5 Ge 0.179 0.066 0.408 1
Ge6 Ge 0.179 0.934 0.908 1
Ge7 Ge 0.321 0.434 0.908 1
Ge8 Ge 0.321 0.566 0.408 1
Ge9 Ge 0.368 0.105 0.101 1
Ge10 Ge 0.368 0.895 0.601 1
Ge11 Ge 0.427 0.286 0.542 1
Ge12 Ge 0.427 0.714 0.042 1
Ge13 Ge 0.573 0.286 0.958 1
Ge14 Ge 0.573 0.714 0.458 1
Ge15 Ge 0.632 0.105 0.399 1
Ge16 Ge 0.632 0.895 0.899 1
Ge17 Ge 0.679 0.434 0.592 1
Ge18 Ge 0.679 0.566 0.092 1
Ge19 Ge 0.821 0.066 0.092 1
Ge20 Ge 0.821 0.934 0.592 1
Ge21 Ge 0.868 0.395 0.899 1
Ge22 Ge 0.868 0.605 0.399 1
Ge23 Ge 0.927 0.214 0.458 1
Ge24 Ge 0.927 0.786 0.958 1
Os1 Os 0.000 0.041 0.750 1
Os2 Os 0.000 0.426 0.250 1
Os3 Os 0.000 0.574 0.750 1
Os4 Os 0.000 0.959 0.250 1
Os5 Os 0.246 0.186 0.759 1
Os6 Os 0.246 0.814 0.259 1
Os7 Os 0.254 0.314 0.259 1
Os8 Os 0.254 0.686 0.759 1
Os9 Os 0.500 0.074 0.750 1
Os10 Os 0.500 0.459 0.250 1
Os11 Os 0.500 0.541 0.750 1
Os12 Os 0.500 0.926 0.250 1
Os13 Os 0.746 0.314 0.241 1
Os14 Os 0.746 0.686 0.741 1
Os15 Os 0.754 0.186 0.741 1
Os16 Os 0.754 0.814 0.241 1
# ΔE to the lowest computed polymorph, meV/atom: 0

=====

No. 7
# Sc2AgAu | OQMD via LeMat-Bulk | PBE | optimized geometry
data_Sc2AgAu
_cell_length_a 4.838
_cell_length_b 6.741
_cell_length_c 4.858
_cell_angle_alpha 90.00
_cell_angle_beta 90.00
_cell_angle_gamma 90.00
_symmetry_space_group_name_H-M 'P 1'
_symmetry_Int_Tables_number 1
_symmetry_space_group_name_Hall 'P 1'
loop_
_atom_site_label
_atom_site_type_symbol
_atom_site_fract_x
_atom_site_fract_y
_atom_site_fract_z
_atom_site_occupancy
Sc1 Sc 0.250 0.000 0.241 1
Sc2 Sc 0.250 0.500 0.241 1
Sc3 Sc 0.750 0.000 0.759 1
Sc4 Sc 0.750 0.500 0.759 1
Ag1 Ag 0.250 0.250 0.733 1
Ag2 Ag 0.750 0.750 0.267 1
Au1 Au 0.250 0.750 0.734 1
Au2 Au 0.750 0.250 0.266 1
# Formation energy, eV/atom: -0.559
# ΔE to the lowest computed polymorph, meV/atom: 1

=====

No. 8
Below is a relaxed Ag4CSe crystal, with properties calculated at the PBE level.

```
data_Ag4CSe
_cell_length_a 7.472
_cell_length_b 7.472
_cell_length_c 7.472
_cell_angle_alpha 33.16
_cell_angle_beta 33.16
_cell_angle_gamma 33.16
_symmetry_space_group_name_H-M 'P 1'
_symmetry_Int_Tables_number 1
_symmetry_space_group_name_Hall 'P 1'
loop_
_atom_site_label
_atom_site_type_symbol
_atom_site_fract_x
_atom_site_fract_y
_atom_site_fract_z
_atom_site_occupancy
Ag1 Ag 0.104 0.104 0.104 1
Ag2 Ag 0.363 0.363 0.363 1
Ag3 Ag 0.637 0.637 0.637 1
Ag4 Ag 0.896 0.896 0.896 1
C1 C 0.000 0.000 0.000 1
Se1 Se 0.500 0.500 0.500 1
```

=====

No. 9
# HoB | OQMD via LeMat-Bulk | PBE | optimized geometry
data_HoB
_cell_length_a 3.421
_cell_length_b 3.421
_cell_length_c 3.653
_cell_angle_alpha 90.00
_cell_angle_beta 90.00
_cell_angle_gamma 120.00
_symmetry_space_group_name_H-M 'P 1'
_symmetry_Int_Tables_number 1
_symmetry_space_group_name_Hall 'P 1'
loop_
_atom_site_label
_atom_site_type_symbol
_atom_site_fract_x
_atom_site_fract_y
_atom_site_fract_z
_atom_site_occupancy
Ho1 Ho 0.000 0.000 0.000 1
B1 B 0.333 0.667 0.500 1
# ΔE to the lowest computed polymorph, meV/atom: 203

=====

No. 10
# TbTlNiTe3 | OQMD via LeMat-Bulk | PBE | optimized geometry
data_TbTlNiTe3
_cell_length_a 8.264
_cell_length_b 8.264
_cell_length_c 11.033
_cell_angle_alpha 90.00
_cell_angle_beta 90.00
_cell_angle_gamma 150.99
_symmetry_space_group_name_H-M 'P 1'
_symmetry_Int_Tables_number 1
_symmetry_space_group_name_Hall 'P 1'
loop_
_atom_site_label
_atom_site_type_symbol
_atom_site_fract_x
_atom_site_fract_y
_atom_site_fract_z
_atom_site_occupancy
Tb1 Tb 0.000 0.000 0.000 1
Tb2 Tb 0.000 0.000 0.500 1
Tl1 Tl 0.252 0.748 0.750 1
Tl2 Tl 0.748 0.252 0.250 1
Ni1 Ni 0.479 0.521 0.250 1
Ni2 Ni 0.521 0.479 0.750 1
Te1 Te 0.077 0.923 0.250 1
Te2 Te 0.370 0.630 0.080 1
Te3 Te 0.370 0.630 0.420 1
Te4 Te 0.630 0.370 0.580 1
Te5 Te 0.630 0.370 0.920 1
Te6 Te 0.923 0.077 0.750 1
# ΔE to the lowest computed polymorph, meV/atom: 20

=====

No. 11
Below is a relaxed Ga2AgPt crystal, with properties calculated at the PBE level.

```
data_Ga2AgPt
_cell_length_a 4.581
_cell_length_b 4.581
_cell_length_c 4.581
_cell_angle_alpha 60.00
_cell_angle_beta 60.00
_cell_angle_gamma 60.00
_symmetry_space_group_name_H-M 'P 1'
_symmetry_Int_Tables_number 1
_symmetry_space_group_name_Hall 'P 1'
loop_
_atom_site_label
_atom_site_type_symbol
_atom_site_fract_x
_atom_site_fract_y
_atom_site_fract_z
_atom_site_occupancy
Ga1 Ga 0.000 0.000 0.000 1
Ga2 Ga 0.250 0.250 0.250 1
Ag1 Ag 0.750 0.750 0.750 1
Pt1 Pt 0.500 0.500 0.500 1
```

=====

No. 12
Below is a relaxed Li2HfGa2Pd2Pt crystal, with properties calculated at the PBE level.

```
data_Li2HfGa2Pd2Pt
_cell_length_a 4.459
_cell_length_b 4.459
_cell_length_c 6.196
_cell_angle_alpha 90.00
_cell_angle_beta 90.00
_cell_angle_gamma 90.00
_symmetry_space_group_name_H-M 'P 1'
_symmetry_Int_Tables_number 1
_symmetry_space_group_name_Hall 'P 1'
loop_
_atom_site_label
_atom_site_type_symbol
_atom_site_fract_x
_atom_site_fract_y
_atom_site_fract_z
_atom_site_occupancy
Li1 Li 0.000 0.500 0.209 1
Li2 Li 0.500 0.000 0.791 1
Hf1 Hf 0.000 0.000 0.500 1
Ga1 Ga 0.000 0.000 0.000 1
Ga2 Ga 0.500 0.500 0.500 1
Pd1 Pd 0.000 0.500 0.729 1
Pd2 Pd 0.500 0.000 0.271 1
Pt1 Pt 0.500 0.500 0.000 1
```

=====

Quick rundown of total DFT energy (no corrections), same order as above: -3.836, -6.696, -6.547, -4.587, -2.943, -7.335, -5.246, -3.256, -5.116, -4.330, -3.843, -5.031 eV per atom